Entry 1:
First-principles (GGA-PBE) data for a geometry-optimized TaMn2Rh structure, as listed in Alexandria.

Cell: 4.3123 4.3123 4.3123 Å, 60.00 60.00 60.00°
Closest atoms and distances in Å follow each position.
Fractional positions:
Mn: 0.2500 0.2500 0.2500  4 Ta 2.64, 4 Rh 2.64
Mn: 0.7500 0.7500 0.7500  4 Ta 2.64, 4 Rh 2.64
Rh: 0.0000 0.0000 0.0000  8 Mn 2.64
Ta: 0.5000 0.5000 0.5000  8 Mn 2.64

Offset from the most stable computed form   60.4 meV/atom
E_tot   -37.95 eV for the cell shown
Total magnetic moment   4.57 μB per cell


Entry 2:
First-principles (GGA-PBE) data for a geometry-optimized TaMn4Rh structure, as listed in Alexandria.

Cell: 4.7338 4.7338 4.7338 Å, 60.00 60.00 60.00°
Closest atoms and distances in Å follow each position.
Fractional positions:
Mn: 0.1308 0.6231 0.6231  6 Mn 2.33-2.40
Mn: 0.6231 0.6231 0.6231  6 Mn 2.33-2.40
Mn: 0.6231 0.1308 0.6231  6 Mn 2.33-2.40
Mn: 0.6231 0.6231 0.1308  6 Mn 2.33-2.40
Rh: 0.2500 0.2500 0.2500  12 Mn 2.77, 4 Ta 2.90
Ta: 0.0000 0.0000 0.0000  12 Mn 2.78, 4 Rh 2.90

E_tot   -56.69 eV for the cell shown
Total magnetic moment   0.00 μB per cell


Entry 3:
First-principles (GGA-PBE) data for a geometry-optimized Ta3Mn2Rh structure, as listed in Alexandria.

Cell: 3.0160 3.0160 9.8701 Å, 90.00 90.00 90.00°
Closest atoms and distances in Å follow each position.
Fractional positions:
Ta: 0.0000 0.0000 0.0000  8 Mn 2.64
Ta: 0.0000 0.0000 0.6862  4 Mn 2.64, 4 Rh 2.82
Ta: 0.0000 0.0000 0.3138  4 Mn 2.64, 4 Rh 2.82
Mn: 0.5000 0.5000 0.8431  8 Ta 2.64
Mn: 0.5000 0.5000 0.1569  8 Ta 2.64
Rh: 0.5000 0.5000 0.5000  8 Ta 2.82, 4 Rh 3.02

E_tot   -62.88 eV for the cell shown
Total magnetic moment   0.00 μB per cell